(1)
An optimized crystal structure of LaV2InFe. Source: the Alexandria database, functional PBE-GGA.

Energy ... -24.4 eV per cell
ΔH_f (0 K) ... 1.9953 eV/atom
D(E_F) ... 1.155 states/eV/atom

Unit cell a=4.4923 b=4.4923 c=5.6060 alpha=90.00 beta=90.00 gamma=90.00
With the nearest neighbours (Å) after each atom.
Space group P4/mmm (No. 123)
Unique sites:
1 La 0.0000 0.0000 0.0000 (multiplicity 1)  4 V 2.25
2 V 0.0000 0.5000 0.0000 (multiplicity 2)  2 La 2.25
3 In 0.0000 0.0000 0.5000 (multiplicity 1)  2 La 2.80
4 Fe 0.5000 0.5000 0.5000 (multiplicity 1)  4 In 3.18

(2)
An optimized crystal structure of V3RuC. Source: the Alexandria database, functional PBE-GGA.

Energy ... -46.8 eV per cell
Energy above the lowest structure with this stoichiometry ... 0.0 meV per atom
ΔH_f (0 K) ... -0.1885 eV/atom
D(E_F) ... 1.313 states/eV/atom

Unit cell a=3.9561 b=3.9561 c=3.9561 alpha=90.00 beta=90.00 gamma=90.00
With the nearest neighbours (Å) after each atom.
Space group Pm-3m (No. 221)
Unique sites:
1 V 0.0000 0.0000 0.5000 (multiplicity 3)  2 C 1.98
2 Ru 0.5000 0.5000 0.5000 (multiplicity 1)  12 V 2.80
3 C 0.0000 0.0000 0.0000 (multiplicity 1)  6 V 1.98

(3)
An optimized crystal structure of Ac2BeSi2Os2. Source: the Alexandria database, functional PBE-GGA.

Energy ... -96.5 eV per cell
D(E_F) ... 0.481 states/eV/atom
Formation energy from raw total energies ... -0.431 eV/atom

Unit cell a=11.6675 b=4.4231 c=7.6971 alpha=90.00 beta=129.89 gamma=90.00
With the nearest neighbours (Å) after each atom.
Space group C2/m (No. 12)
Unique sites:
1 Ac 0.0606 0.0000 0.3058 (multiplicity 4)  2 Be 3.00, 1 Os 3.26, 1 Si 3.33
2 Be 0.0000 0.5000 0.5000 (multiplicity 2)  2 Os 2.15
3 Si 0.1955 0.5000 0.1309 (multiplicity 4)  3 Os 2.39-2.44
4 Os 0.2152 0.5000 0.8346 (multiplicity 4)  1 Be 2.15, 2 Si 2.39

(4)
An optimized crystal structure of SrIn2CoBr. Source: the Alexandria database, functional PBE-GGA.

Energy ... -14.4 eV per cell
D(E_F) ... 0.878 states/eV/atom
Formation energy from raw total energies ... 0.311 eV/atom

Unit cell a=6.0057 b=6.0057 c=4.3774 alpha=90.00 beta=90.00 gamma=90.00
With the nearest neighbours (Å) after each atom.
Space group P4/mmm (No. 123)
Unique sites:
1 Sr 0.0000 0.0000 0.0000 (multiplicity 1)  8 In 3.72
2 In 0.0000 0.5000 0.5000 (multiplicity 2)  2 Br 3.00
3 Co 0.5000 0.5000 0.0000 (multiplicity 1)  2 Br 2.19
4 Br 0.5000 0.5000 0.5000 (multiplicity 1)  2 Co 2.19

(5)
An optimized crystal structure of Pu4SnRhAu2. Source: the Alexandria database, functional PBE-GGA.

Energy ... -235.1 eV per cell
ΔH_f (0 K) ... -0.3898 eV/atom
D(E_F) ... 4.157 states/eV/atom

Unit cell a=5.1657 b=5.1657 c=24.6668 alpha=90.00 beta=90.00 gamma=120.00
With the nearest neighbours (Å) after each atom.
Space group R-3m (No. 166, hexagonal axes)
Unique sites:
1 Pu 0.0000 0.0000 0.1108 (multiplicity 6)  1 Rh 2.73, 3 Au 3.01
2 Pu 0.0000 0.0000 0.3643 (multiplicity 6)  3 Rh 3.08, 4 Au 3.12-3.38, 1 Sn 3.35, 3 Pu 3.35
3 Sn 0.0000 0.0000 0.5000 (multiplicity 3)  8 Pu 3.28-3.35, 6 Au 3.46
4 Rh 0.0000 0.0000 0.0000 (multiplicity 3)  2 Pu 2.73
5 Au 0.0000 0.0000 0.2380 (multiplicity 6)  5 Pu 3.01-3.14

(6)
An optimized crystal structure of CsLaP3. Source: the Alexandria database, functional PBE-GGA.

Energy ... -21.0 eV per cell
Energy above the lowest structure with this stoichiometry ... 0.0 meV per atom
ΔH_f (0 K) ... 0.2086 eV/atom
D(E_F) ... 1.044 states/eV/atom

Unit cell a=5.6440 b=5.6440 c=5.6440 alpha=90.00 beta=90.00 gamma=90.00
With the nearest neighbours (Å) after each atom.
Space group Pm-3m (No. 221)
Unique sites:
1 Cs 0.0000 0.0000 0.0000 (multiplicity 1)  12 P 3.99
2 La 0.5000 0.5000 0.5000 (multiplicity 1)  6 P 2.82
3 P 0.0000 0.5000 0.5000 (multiplicity 3)  2 La 2.82

(7)
An optimized crystal structure of ScNi2Ag. Source: the Alexandria database, functional PBE-GGA.

Energy ... -21.8 eV per cell
ΔH_f (0 K) ... -0.2596 eV/atom
D(E_F) ... 0.274 states/eV/atom

Unit cell a=4.0211 b=4.0211 c=3.6115 alpha=90.00 beta=90.00 gamma=90.00
With the nearest neighbours (Å) after each atom.
Space group P4/mmm (No. 123)
Unique sites:
1 Sc 0.0000 0.0000 0.0000 (multiplicity 1)  8 Ni 2.70, 4 Ag 2.84
2 Ni 0.0000 0.5000 0.5000 (multiplicity 2)  4 Sc 2.70, 4 Ag 2.70, 4 Ni 2.84
3 Ag 0.5000 0.5000 0.0000 (multiplicity 1)  8 Ni 2.70, 4 Sc 2.84

(8)
An optimized crystal structure of Ag6Hg3F14. Source: the Alexandria database, functional PBE-GGA.

Energy ... -70.6 eV per cell
D(E_F) ... 0.334 states/eV/atom
Formation energy from raw total energies ... -1.147 eV/atom

Unit cell a=8.1731 b=8.1731 c=6.3543 alpha=90.00 beta=90.00 gamma=120.00
With the nearest neighbours (Å) after each atom.
Space group P3 (No. 143)
Unique sites:
1 Ag 0.0218 0.5116 0.0000 (multiplicity 3)  4 F 2.28-2.31
2 Ag 0.2931 0.1456 0.3992 (multiplicity 3)  5 F 2.33-2.48
3 Hg 0.0000 0.0000 0.8489 (multiplicity 1)  4 F 2.13-2.31
4 Hg 0.3333 0.6667 0.4366 (multiplicity 1)  1 F 2.12
5 Hg 0.6667 0.3333 0.6551 (multiplicity 1)  6 F 2.37-2.38
6 F 0.0000 0.0000 0.1844 (multiplicity 1)  1 Hg 2.13
7 F 0.1217 0.8771 0.6080 (multiplicity 3)  1 Hg 2.31, 2 Ag 2.34
8 F 0.2132 0.4275 0.1722 (multiplicity 3)  2 Ag 2.28, 1 Hg 2.39
9 F 0.3333 0.6667 0.7696 (multiplicity 1)  1 Hg 2.12
10 F 0.4198 0.2095 0.9088 (multiplicity 3)  2 Ag 2.31, 1 Hg 2.38
11 F 0.5408 0.4580 0.4075 (multiplicity 3)  2 Ag 2.33, 1 Hg 2.37

(9)
An optimized crystal structure of KSrNi2. Source: the Alexandria database, functional PBE-GGA.

Energy ... -12.8 eV per cell
Energy above the lowest structure with this stoichiometry ... 234.1 meV per atom
ΔH_f (0 K) ... 0.3934 eV/atom
D(E_F) ... 1.463 states/eV/atom

Unit cell a=3.4159 b=3.4159 c=9.1596 alpha=90.00 beta=90.00 gamma=90.00
With the nearest neighbours (Å) after each atom.
Space group P4mm (No. 99)
Unique sites:
1 K 0.0000 0.0000 0.0000 (multiplicity 1)  1 Ni 3.06, 4 K 3.42
2 Sr 0.5000 0.5000 0.5666 (multiplicity 1)  1 Ni 2.66
3 Ni 0.0000 0.0000 0.3342 (multiplicity 1)  4 Ni 2.47
4 Ni 0.5000 0.5000 0.2757 (multiplicity 1)  4 Ni 2.47, 1 Sr 2.66

(10)
An optimized crystal structure of Ag2SbAu. Source: the Alexandria database, functional PBE-GGA.

Energy ... -25.6 eV per cell
D(E_F) ... 0.345 states/eV/atom
Formation energy from raw total energies ... 0.074 eV/atom

Unit cell a=5.9721 b=8.9547 c=2.9947 alpha=90.00 beta=91.31 gamma=90.00
With the nearest neighbours (Å) after each atom.
Space group C2/m (No. 12)
Unique sites:
1 Ag 0.2500 0.2500 0.0000 (multiplicity 4)  4 Ag 2.99, 4 Sb 3.06-3.10, 4 Au 3.06-3.10
2 Sb 0.0000 0.0000 0.5000 (multiplicity 2)  2 Au 2.99, 2 Sb 2.99, 8 Ag 3.06-3.10
3 Au 0.0000 0.5000 0.5000 (multiplicity 2)  2 Sb 2.99, 2 Au 2.99, 8 Ag 3.06-3.10

(11)
An optimized crystal structure of PmHgBi2. Source: the Alexandria database, functional PBE-GGA.

Energy ... -39.6 eV per cell
Energy above the lowest structure with this stoichiometry ... 361.8 meV per atom
ΔH_f (0 K) ... -0.0995 eV/atom
D(E_F) ... 0.329 states/eV/atom

Unit cell a=4.5966 b=4.5966 c=27.8667 alpha=90.00 beta=90.00 gamma=120.00
With the nearest neighbours (Å) after each atom.
Space group R-3m (No. 166, hexagonal axes)
Unique sites:
1 Pm 0.0000 0.0000 0.0000 (multiplicity 3)  6 Bi 3.22
2 Hg 0.0000 0.0000 0.5000 (multiplicity 3)  2 Bi 2.82
3 Bi 0.0000 0.0000 0.3987 (multiplicity 6)  1 Hg 2.82

(12)
An optimized crystal structure of Nd3AlGe6Pd2. Source: the Alexandria database, functional PBE-GGA.

Energy ... -61.2 eV per cell
ΔH_f (0 K) ... -0.4190 eV/atom
D(E_F) ... 0.398 states/eV/atom

Unit cell a=5.9712 b=5.9712 c=8.3846 alpha=90.00 beta=90.00 gamma=120.00
With the nearest neighbours (Å) after each atom.
Space group P-3m1 (No. 164)
Unique sites:
1 Nd 0.0000 0.0000 0.0000 (multiplicity 1)  6 Ge 3.02
2 Nd 0.3333 0.6667 0.6168 (multiplicity 2)  9 Ge 3.13-3.23, 1 Pd 3.38
3 Al 0.0000 0.0000 0.5000 (multiplicity 1)  6 Ge 2.70
4 Ge 0.1873 0.3747 0.2761 (multiplicity 6)  2 Ge 2.62, 1 Pd 2.63, 1 Al 2.70
5 Pd 0.3333 0.6667 0.0194 (multiplicity 2)  3 Ge 2.63

(13)
An optimized crystal structure of SrCaTlPb. Source: the Alexandria database, functional PBE-GGA.

Energy ... -46.8 eV per cell
ΔH_f (0 K) ... -0.4824 eV/atom
D(E_F) ... 0.514 states/eV/atom

Unit cell a=8.0414 b=8.0414 c=8.0414 alpha=90.00 beta=90.00 gamma=90.00
With the nearest neighbours (Å) after each atom.
Space group F-43m (No. 216)
Unique sites:
1 Sr 0.0000 0.0000 0.0000 (multiplicity 4)  4 Tl 3.48, 4 Pb 3.48
2 Ca 0.0000 0.0000 0.5000 (multiplicity 4)  4 Tl 3.48, 4 Pb 3.48
3 Tl 0.2500 0.2500 0.7500 (multiplicity 4)  4 Ca 3.48, 4 Sr 3.48
4 Pb 0.2500 0.2500 0.2500 (multiplicity 4)  4 Ca 3.48, 4 Sr 3.48

(14)
An optimized crystal structure of Sc2AlGa5. Source: the Alexandria database, functional PBE-GGA.

Energy ... -71.0 eV per cell
ΔH_f (0 K) ... -0.4921 eV/atom
D(E_F) ... 0.430 states/eV/atom

Unit cell a=5.7909 b=11.5960 c=4.1393 alpha=90.00 beta=90.00 gamma=90.00
With the nearest neighbours (Å) after each atom.
Space group Pbam (No. 55)
Unique sites:
1 Sc 0.2432 0.1269 0.0000 (multiplicity 4)  10 Ga 2.89-2.91, 2 Al 2.94
2 Al 0.0000 0.5000 0.5000 (multiplicity 2)  8 Ga 2.87-2.90, 4 Sc 2.94
3 Ga 0.0000 0.0000 0.5000 (multiplicity 2)  2 Al 2.90, 4 Sc 2.90, 6 Ga 2.92-2.93
4 Ga 0.0047 0.7474 0.5000 (multiplicity 4)  1 Al 2.87, 4 Sc 2.89-2.91, 7 Ga 2.90-2.95
5 Ga 0.2426 0.3775 0.0000 (multiplicity 4)  2 Al 2.88, 4 Sc 2.89-2.91, 6 Ga 2.90-2.95

(15)
An optimized crystal structure of Nd2Sm2Hg. Source: the Alexandria database, functional PBE-GGA.

Energy ... -78.9 eV per cell
Energy above the lowest structure with this stoichiometry ... 93.2 meV per atom
ΔH_f (0 K) ... -0.0876 eV/atom
D(E_F) ... 1.173 states/eV/atom

Unit cell a=8.5600 b=9.5735 c=8.5313 alpha=90.00 beta=114.79 gamma=90.00
With the nearest neighbours (Å) after each atom.
Space group C2/m (No. 12)
Unique sites:
1 Nd 0.0800 0.1878 0.2192 (multiplicity 8)  2 Hg 3.11-3.39, 1 Nd 3.40, 1 Sm 3.44
2 Sm 0.1562 0.5000 0.9258 (multiplicity 4)  3 Sm 3.41-3.61, 4 Nd 3.49-3.53, 2 Hg 3.65
3 Sm 0.2198 0.0000 0.6145 (multiplicity 4)  4 Hg 3.33-3.66, 3 Sm 3.44-3.61, 4 Nd 3.44-3.56
4 Hg 0.0000 0.3381 0.5000 (multiplicity 4)  1 Hg 3.10, 4 Nd 3.11-3.39, 2 Sm 3.33

(16)
An optimized crystal structure of In2TeAuS. Source: the Alexandria database, functional PBE-GGA.

Energy ... -14.3 eV per cell
D(E_F) ... 0.506 states/eV/atom
Formation energy from raw total energies ... 0.345 eV/atom

Unit cell a=5.3721 b=5.3721 c=5.2176 alpha=90.00 beta=90.00 gamma=90.00
With the nearest neighbours (Å) after each atom.
Space group P4/mmm (No. 123)
Unique sites:
1 In 0.0000 0.5000 0.0000 (multiplicity 2)  2 S 2.69
2 Te 0.0000 0.0000 0.5000 (multiplicity 1)  2 S 2.61
3 Au 0.5000 0.5000 0.5000 (multiplicity 1)  8 In 3.74, 4 Te 3.80
4 S 0.0000 0.0000 0.0000 (multiplicity 1)  2 Te 2.61, 4 In 2.69

(17)
An optimized crystal structure of CsMgCdSb2. Source: the Alexandria database, functional PBE-GGA.

Energy ... -26.8 eV per cell
D(E_F) ... 0.507 states/eV/atom
Formation energy from raw total energies ... -0.359 eV/atom

Unit cell a=4.6653 b=4.6653 c=16.1313 alpha=90.00 beta=90.00 gamma=90.00
With the nearest neighbours (Å) after each atom.
Space group I-4m2 (No. 119)
Unique sites:
1 Cs 0.0000 0.0000 0.0000 (multiplicity 2)  8 Sb 4.00
2 Mg 0.0000 0.5000 0.7500 (multiplicity 2)  4 Sb 2.93
3 Cd 0.0000 0.5000 0.2500 (multiplicity 2)  4 Sb 2.93
4 Sb 0.0000 0.0000 0.3601 (multiplicity 4)  2 Cd 2.93, 2 Mg 2.93

(18)
An optimized crystal structure of NaPuPdO6. Source: the Alexandria database, functional PBE-GGA.

Energy ... -128.9 eV per cell
Formation energy from raw total energies ... -1.539 eV/atom

Unit cell a=5.2858 b=5.2858 c=10.6010 alpha=90.00 beta=90.00 gamma=120.00
With the nearest neighbours (Å) after each atom.
Space group P-31c (No. 163)
Unique sites:
1 Na 0.0000 0.0000 0.0000 (multiplicity 2)  6 O 2.44
2 Pu 0.3333 0.6667 0.2500 (multiplicity 2)  6 O 2.02
3 Pd 0.3333 0.6667 0.7500 (multiplicity 2)  6 O 2.04
4 O 0.0026 0.3590 0.1455 (multiplicity 12)  1 Pu 2.02, 1 Pd 2.04

(19)
An optimized crystal structure of Ac7HgI12. Source: the Alexandria database, functional PBE-GGA.

Energy ... -219.2 eV per cell
D(E_F) ... 0.425 states/eV/atom
Formation energy from raw total energies ... -1.270 eV/atom

Unit cell a=17.3876 b=17.3876 c=10.7064 alpha=90.00 beta=90.00 gamma=120.00
With the nearest neighbours (Å) after each atom.
Space group R-3 (No. 148, hexagonal axes)
Unique sites:
1 Ac 0.0000 0.0000 0.0000 (multiplicity 3)  6 I 3.41
2 Ac 0.0438 0.8799 0.3226 (multiplicity 18)  1 Hg 3.18, 5 I 3.37-3.48
3 Hg 0.0000 0.0000 0.5000 (multiplicity 3)  6 Ac 3.18
4 I 0.0313 0.4433 0.1623 (multiplicity 18)  3 Ac 3.38-3.48
5 I 0.0516 0.8583 0.8516 (multiplicity 18)  3 Ac 3.37-3.41

(20)
An optimized crystal structure of Er4Tm5. Source: the Alexandria database, functional PBE-GGA.

Energy ... -80.7 eV per cell
Energy above the lowest structure with this stoichiometry ... 0.0 meV per atom
ΔH_f (0 K) ... 0.0266 eV/atom
D(E_F) ... 1.414 states/eV/atom

Unit cell a=11.0314 b=4.9335 c=10.4649 alpha=90.00 beta=108.43 gamma=90.00
With the nearest neighbours (Å) after each atom.
Space group C2/m (No. 12)
Unique sites:
1 Er 0.0000 0.0000 0.1667 (multiplicity 4)  8 Tm 3.49, 4 Er 3.49
2 Er 0.1666 0.5000 0.7220 (multiplicity 4)  9 Tm 3.49, 3 Er 3.49
3 Tm 0.0000 0.0000 0.5000 (multiplicity 2)  6 Er 3.49, 6 Tm 3.49
4 Tm 0.1668 0.5000 0.0556 (multiplicity 4)  8 Er 3.49, 4 Tm 3.49
5 Tm 0.1668 0.5000 0.3890 (multiplicity 4)  6 Er 3.49, 6 Tm 3.49